PrErOs | GGA-PBE | relaxed

Values from the calculation:
V ... 159.91 Å³/cell
Total moment ... 0.00 μB/atom
Electronic total energy ... -41.9 eV per cell
Theoretical density ... 10.351 g/cm3
Distance to the lowest polymorph of the same formula ... 0.000 eV per atom

Unit cell a=3.440 b=3.440 c=13.509 alpha=90.00 beta=90.00 gamma=90.00
Space group I4mm (No. 107)
Symmetry-distinct sites (fractional):
Pr  0.000  0.000  0.000 [2 per cell]
Er  0.000  0.000  0.250 [2 per cell]
Os  0.000  0.000  0.633 [2 per cell]


PrEr3Os | GGA-PBE | relaxed

Values from the calculation:
V ... 158.21 Å³/cell
Total moment ... 0.00 μB/atom
Electronic total energy ... -29.9 eV per cell
Theoretical density ... 8.742 g/cm3

Unit cell a=5.408 b=5.408 c=5.408 alpha=90.00 beta=90.00 gamma=90.00
Space group Pm-3m (No. 221)
Symmetry-distinct sites (fractional):
Pr  0.000  0.000  0.000 [1 per cell]
Er  0.000  0.500  0.500 [3 per cell]
Os  0.500  0.500  0.500 [1 per cell]


Pr3ErOs | GGA-PBE | relaxed

Values from the calculation:
V ... 178.68 Å³/cell
Total moment ... 0.00 μB/atom
Electronic total energy ... -29.2 eV per cell
Theoretical density ... 7.251 g/cm3

Unit cell a=5.632 b=5.632 c=5.632 alpha=90.00 beta=90.00 gamma=90.00
Space group Pm-3m (No. 221)
Symmetry-distinct sites (fractional):
Pr  0.000  0.000  0.500 [3 per cell]
Er  0.500  0.500  0.500 [1 per cell]
Os  0.000  0.000  0.000 [1 per cell]


Pr2Er3Os2 | GGA-PBE | relaxed

Values from the calculation:
V ... 367.72 Å³/cell
Total moment ... 0.00 μB/atom
Electronic total energy ... -92.5 eV per cell
Theoretical density ... 10.513 g/cm3

Unit cell a=11.878 b=4.880 c=6.817 alpha=90.00 beta=111.48 gamma=90.00
Space group C2/m (No. 12)
Symmetry-distinct sites (fractional):
Pr  0.150  0.000  0.338 [4 per cell]
Er  0.000  0.500  0.500 [2 per cell]
Er  0.150  0.500  0.997 [4 per cell]
Os  0.109  0.000  0.746 [4 per cell]


Er6Os2Pt | GGA-PBE | relaxed

Values from the calculation:
V ... 452.63 Å³/cell
Total moment ... 0.00 μB/atom
Electronic total energy ... -119.3 eV per cell
Theoretical density ... 11.586 g/cm3

Unit cell a=6.590 b=7.420 c=11.162 alpha=90.00 beta=123.97 gamma=90.00
Space group P2_1/c (No. 14)
Symmetry-distinct sites (fractional):
Er  0.072  0.052  0.237 [4 per cell]
Er  0.217  0.673  0.070 [4 per cell]
Er  0.397  0.167  0.069 [4 per cell]
Os  0.295  0.121  0.759 [4 per cell]
Pt  0.500  0.000  0.500 [2 per cell]


Er4OsPt | GGA-PBE | relaxed

Values from the calculation:
V ... 601.31 Å³/cell
Total moment ... 0.00 μB/atom
Electronic total energy ... -157.6 eV per cell
Theoretical density ... 11.647 g/cm3
Distance to the lowest polymorph of the same formula ... 0.000 eV per atom

Unit cell a=8.938 b=12.850 c=6.268 alpha=90.00 beta=123.36 gamma=90.00
Space group C2/c (No. 15)
Symmetry-distinct sites (fractional):
Er  0.125  0.174  0.094 [8 per cell]
Er  0.200  0.437  0.272 [8 per cell]
Os  0.000  0.001  0.750 [4 per cell]
Pt  0.000  0.363  0.750 [4 per cell]


Er8OsPt2 | GGA-PBE | relaxed

Values from the calculation:
V ... 546.26 Å³/cell
Total moment ... 0.00 μB/atom
Electronic total energy ... -132.8 eV per cell
Theoretical density ... 11.664 g/cm3
Distance to the lowest polymorph of the same formula ... 0.000 eV per atom

Unit cell a=17.051 b=4.962 c=6.764 alpha=90.00 beta=107.35 gamma=90.00
Space group C2/m (No. 12)
Symmetry-distinct sites (fractional):
Er  0.031  0.000  0.295 [4 per cell]
Er  0.093  0.500  0.941 [4 per cell]
Er  0.165  0.500  0.463 [4 per cell]
Er  0.202  0.000  0.807 [4 per cell]
Os  0.000  0.500  0.500 [2 per cell]
Pt  0.187  0.000  0.204 [4 per cell]


Er2OsPt | GGA-PBE | relaxed

Values from the calculation:
V ... 79.48 Å³/cell
Total moment ... 0.00 μB/atom
Electronic total energy ... -29.5 eV per cell
Theoretical density ... 15.040 g/cm3

Unit cell a=3.447 b=3.447 c=6.688 alpha=90.00 beta=90.00 gamma=90.00
Space group P4/mmm (No. 123)
Symmetry-distinct sites (fractional):
Er  0.000  0.000  0.244 [2 per cell]
Os  0.500  0.500  0.000 [1 per cell]
Pt  0.500  0.500  0.500 [1 per cell]


Er8OsPt2 | GGA-PBE | relaxed

Values from the calculation:
V ... 581.12 Å³/cell
Total moment ... 0.00 μB/atom
Electronic total energy ... -130.7 eV per cell
Theoretical density ... 10.964 g/cm3
Distance to the lowest polymorph of the same formula ... 0.092 eV per atom

Unit cell a=8.367 b=12.581 c=5.852 alpha=90.00 beta=109.37 gamma=90.00
Space group Cm (No. 8)
Symmetry-distinct sites (fractional):
Er  0.000  0.000  0.000 [2 per cell]
Er  0.056  0.373  0.786 [4 per cell]
Er  0.149  0.127  0.592 [4 per cell]
Er  0.207  0.500  0.355 [2 per cell]
Er  0.356  0.213  0.178 [4 per cell]
Os  0.355  0.000  0.019 [2 per cell]
Pt  0.349  0.313  0.677 [4 per cell]


Er4OsPt | GGA-PBE | relaxed

Values from the calculation:
V ... 318.89 Å³/cell
Total moment ... 0.00 μB/atom
Electronic total energy ... -77.6 eV per cell
Theoretical density ... 10.980 g/cm3
Distance to the lowest polymorph of the same formula ... 0.099 eV per atom

Unit cell a=6.842 b=6.831 c=6.824 alpha=90.00 beta=91.04 gamma=90.00
Space group P2_1/c (No. 14)
Symmetry-distinct sites (fractional):
Er  0.162  0.168  0.173 [4 per cell]
Er  0.325  0.668  0.162 [4 per cell]
Os  0.000  0.000  0.500 [2 per cell]
Pt  0.500  0.000  0.000 [2 per cell]


ErPuOsPt | GGA-PBE | relaxed

Values from the calculation:
V ... 322.95 Å³/cell
Total moment ... 1.16 μB/atom
Electronic total energy ... -152.3 eV per cell
Theoretical density ... 16.383 g/cm3

Unit cell a=6.861 b=6.861 c=6.861 alpha=90.00 beta=90.00 gamma=90.00
Space group F-43m (No. 216)
Symmetry-distinct sites (fractional):
Er  0.000  0.000  0.000 [4 per cell]
Pu  0.000  0.000  0.500 [4 per cell]
Os  0.250  0.250  0.750 [4 per cell]
Pt  0.250  0.250  0.250 [4 per cell]


ErScOsPt | GGA-PBE | relaxed

Values from the calculation:
V ... 296.22 Å³/cell
Total moment ... 0.00 μB/atom
Electronic total energy ... -124.7 eV per cell
Theoretical density ... 13.398 g/cm3

Unit cell a=6.666 b=6.666 c=6.666 alpha=90.00 beta=90.00 gamma=90.00
Space group F-43m (No. 216)
Symmetry-distinct sites (fractional):
Er  0.000  0.000  0.000 [4 per cell]
Sc  0.000  0.000  0.500 [4 per cell]
Os  0.250  0.250  0.250 [4 per cell]
Pt  0.250  0.250  0.750 [4 per cell]


Er2Si4OsPt3 | GGA-PBE | relaxed

Values from the calculation:
V ... 169.65 Å³/cell
Total moment ... 0.00 μB/atom
Electronic total energy ... -70.4 eV per cell
Theoretical density ... 11.964 g/cm3
Formation energy without anion corrections ... -1.0182 eV per atom

Unit cell a=4.123 b=4.123 c=9.980 alpha=90.00 beta=90.00 gamma=90.00
Space group P-4m2 (No. 115)
Symmetry-distinct sites (fractional):
Er  0.000  0.500  0.248 [2 per cell]
Si  0.000  0.000  0.000 [1 per cell]
Si  0.000  0.500  0.631 [2 per cell]
Si  0.500  0.500  0.000 [1 per cell]
Os  0.000  0.000  0.500 [1 per cell]
Pt  0.000  0.500  0.871 [2 per cell]
Pt  0.500  0.500  0.500 [1 per cell]


TbErOsPt | GGA-PBE | relaxed

Values from the calculation:
V ... 324.67 Å³/cell
Total moment ... 0.00 μB/atom
Electronic total energy ... -116.6 eV per cell
Theoretical density ... 14.556 g/cm3

Unit cell a=6.873 b=6.873 c=6.873 alpha=90.00 beta=90.00 gamma=90.00
Space group F-43m (No. 216)
Symmetry-distinct sites (fractional):
Tb  0.000  0.000  0.000 [4 per cell]
Er  0.000  0.000  0.500 [4 per cell]
Os  0.250  0.250  0.250 [4 per cell]
Pt  0.250  0.250  0.750 [4 per cell]


YErOsPt | GGA-PBE | relaxed

Values from the calculation:
V ... 323.69 Å³/cell
Total moment ... 0.00 μB/atom
Electronic total energy ... -123.9 eV per cell
Theoretical density ... 13.163 g/cm3

Unit cell a=6.866 b=6.866 c=6.866 alpha=90.00 beta=90.00 gamma=90.00
Space group F-43m (No. 216)
Symmetry-distinct sites (fractional):
Y  0.000  0.000  0.000 [4 per cell]
Er  0.000  0.000  0.500 [4 per cell]
Os  0.250  0.250  0.750 [4 per cell]
Pt  0.250  0.250  0.250 [4 per cell]


ErZrOsPt | GGA-PBE | relaxed

Values from the calculation:
V ... 305.55 Å³/cell
Total moment ... 0.00 μB/atom
Electronic total energy ... -132.5 eV per cell
Theoretical density ... 13.995 g/cm3

Unit cell a=6.735 b=6.735 c=6.735 alpha=90.00 beta=90.00 gamma=90.00
Space group F-43m (No. 216)
Symmetry-distinct sites (fractional):
Er  0.000  0.000  0.000 [4 per cell]
Zr  0.000  0.000  0.500 [4 per cell]
Os  0.250  0.250  0.750 [4 per cell]
Pt  0.250  0.250  0.250 [4 per cell]


Er2PuOs2 | GGA-PBE | relaxed

Values from the calculation:
V ... 219.40 Å³/cell
Total moment ... 0.82 μB/atom
Electronic total energy ... -94.8 eV per cell
Theoretical density ... 14.516 g/cm3

Unit cell a=4.251 b=5.734 c=9.001 alpha=90.00 beta=90.00 gamma=90.00
Space group Immm (No. 71)
Symmetry-distinct sites (fractional):
Er  0.000  0.000  0.197 [4 per cell]
Pu  0.000  0.500  0.000 [2 per cell]
Os  0.000  0.270  0.500 [4 per cell]


ErPuOs4 | GGA-PBE | relaxed

Values from the calculation:
V ... 430.90 Å³/cell
Total moment ... 0.62 μB/atom
Electronic total energy ... -260.2 eV per cell
Theoretical density ... 18.069 g/cm3

Unit cell a=7.553 b=7.553 c=7.553 alpha=90.00 beta=90.00 gamma=90.00
Space group F-43m (No. 216)
Symmetry-distinct sites (fractional):
Er  0.000  0.000  0.000 [4 per cell]
Pu  0.250  0.250  0.250 [4 per cell]
Os  0.125  0.125  0.625 [16 per cell]


ErPuOs | GGA-PBE | relaxed

Values from the calculation:
V ... 299.51 Å³/cell
Total moment ... 1.66 μB/atom
Electronic total energy ... -120.7 eV per cell
Theoretical density ... 13.339 g/cm3
Distance to the lowest polymorph of the same formula ... 0.053 eV per atom

Unit cell a=6.691 b=6.691 c=6.691 alpha=90.00 beta=90.00 gamma=90.00
Space group F-43m (No. 216)
Symmetry-distinct sites (fractional):
Er  0.000  0.000  0.000 [4 per cell]
Pu  0.000  0.000  0.500 [4 per cell]
Os  0.250  0.250  0.750 [4 per cell]


ErPuOs2 | GGA-PBE | relaxed

Values from the calculation:
V ... 77.50 Å³/cell
Total moment ... 0.99 μB/atom
Electronic total energy ... -41.6 eV per cell
Theoretical density ... 16.963 g/cm3

Unit cell a=3.373 b=3.373 c=6.813 alpha=90.00 beta=90.00 gamma=90.00
Space group P4/mmm (No. 123)
Symmetry-distinct sites (fractional):
Er  0.000  0.000  0.000 [1 per cell]
Pu  0.000  0.000  0.500 [1 per cell]
Os  0.500  0.500  0.263 [2 per cell]


ErPuOs | GGA-PBE | relaxed

Values from the calculation:
V ... 144.13 Å³/cell
Total moment ... 1.76 μB/atom
Electronic total energy ... -60.4 eV per cell
Theoretical density ... 13.859 g/cm3
Distance to the lowest polymorph of the same formula ... 0.042 eV per atom

Unit cell a=3.258 b=6.661 c=6.805 alpha=77.46 beta=89.92 gamma=90.00
Space group P-1 (No. 2)
Symmetry-distinct sites (fractional):
Er  0.001  0.057  0.245 [2 per cell]
Pu  0.001  0.560  0.237 [2 per cell]
Os  0.500  0.257  0.500 [2 per cell]


ErPuOs | GGA-PBE | relaxed

Values from the calculation:
V ... 140.93 Å³/cell
Total moment ... 1.81 μB/atom
Electronic total energy ... -60.7 eV per cell
Theoretical density ... 14.174 g/cm3
Distance to the lowest polymorph of the same formula ... 0.000 eV per atom

Unit cell a=3.304 b=3.304 c=12.912 alpha=90.00 beta=90.00 gamma=90.00
Space group I4mm (No. 107)
Symmetry-distinct sites (fractional):
Er  0.000  0.000  0.000 [2 per cell]
Pu  0.000  0.000  0.267 [2 per cell]
Os  0.000  0.000  0.633 [2 per cell]


ErPuTcOs | GGA-PBE | relaxed

Values from the calculation:
V ... 306.77 Å³/cell
Total moment ... 0.95 μB/atom
Electronic total energy ... -162.9 eV per cell
Theoretical density ... 15.145 g/cm3

Unit cell a=6.744 b=6.744 c=6.744 alpha=90.00 beta=90.00 gamma=90.00
Space group F-43m (No. 216)
Symmetry-distinct sites (fractional):
Er  0.000  0.000  0.000 [4 per cell]
Pu  0.000  0.000  0.500 [4 per cell]
Tc  0.250  0.250  0.250 [4 per cell]
Os  0.250  0.250  0.750 [4 per cell]


ErPuTlOs | GGA-PBE | relaxed

Values from the calculation:
V ... 93.24 Å³/cell
Total moment ... 1.17 μB/atom
Electronic total energy ... -33.2 eV per cell
Theoretical density ... 14.353 g/cm3

Unit cell a=3.306 b=3.306 c=8.530 alpha=90.00 beta=90.00 gamma=90.00
Space group P4mm (No. 99)
Symmetry-distinct sites (fractional):
Er  0.000  0.000  0.000 [1 per cell]
Pu  0.000  0.000  0.594 [1 per cell]
Tl  0.500  0.500  0.294 [1 per cell]
Os  0.500  0.500  0.797 [1 per cell]


ErPuZnOs | GGA-PBE | relaxed

Values from the calculation:
V ... 328.31 Å³/cell
Total moment ... 1.30 μB/atom
Electronic total energy ... -127.8 eV per cell
Theoretical density ... 13.492 g/cm3

Unit cell a=6.899 b=6.899 c=6.899 alpha=90.00 beta=90.00 gamma=90.00
Space group F-43m (No. 216)
Symmetry-distinct sites (fractional):
Er  0.000  0.000  0.000 [4 per cell]
Pu  0.000  0.000  0.500 [4 per cell]
Zn  0.250  0.250  0.750 [4 per cell]
Os  0.250  0.250  0.250 [4 per cell]


Er2ReOs3 | GGA-PBE | relaxed

Values from the calculation:
V ... 216.29 Å³/cell
Total moment ... 0.00 μB/atom
Electronic total energy ... -114.5 eV per cell
Theoretical density ... 16.759 g/cm3

Unit cell a=5.4217 b=5.4217 c=8.4961 alpha=90.00 beta=90.00 gamma=120.00
Space group P6_3/mmc (No. 194)
Symmetry-distinct sites (fractional):
Er  0.3333  0.6667  0.0654 [4 per cell]
Re  0.0000  0.0000  0.0000 [2 per cell]
Os  0.1733  0.3465  0.7500 [6 per cell]


Er2Re3Os | GGA-PBE | relaxed

Values from the calculation:
V ... 220.42 Å³/cell
Total moment ... 0.00 μB/atom
Electronic total energy ... -118.5 eV per cell
Theoretical density ... 16.323 g/cm3

Unit cell a=9.151 b=5.293 c=5.481 alpha=90.00 beta=123.87 gamma=90.00
Space group C2/m (No. 12)
Symmetry-distinct sites (fractional):
Er  0.126  0.000  0.378 [4 per cell]
Re  0.000  0.500  0.000 [2 per cell]
Re  0.250  0.250  0.000 [4 per cell]
Os  0.000  0.500  0.500 [2 per cell]